Entry 1:
The following is a DFT calculation (PBE) of a relaxed KRbCa2Pt crystal.

```
KRbCa2Pt
1.0
5.6824 0.0000 0.0000
0.0000 5.6824 0.0000
0.0000 0.0000 6.8662
K Rb Ca Pt
1 1 2 1
Direct
0.0000 0.0000 0.0000 K
0.5000 0.5000 0.0000 Rb
0.0000 0.5000 0.5000 Ca
0.5000 0.0000 0.5000 Ca
0.5000 0.5000 0.5000 Pt
```

Calculated values
Total DFT energy (no corrections)   -13.2 eV/cell
Volume   221.70 Å³ per cell
DOS(E_F)   0.456 states/eV/atom
Density   3.0 g/cm3

---

Entry 2:
The following is a DFT calculation (PBE) of a relaxed TlMoPOsRu crystal.

```
TlMoPOsRu
1.0
5.3027 -1.5432 0.0000
5.3027 1.5432 0.0000
-3.3103 0.0000 5.0110
Tl Mo P Os Ru
1 1 1 1 1
Direct
0.0000 0.0000 0.0000 Tl
0.5801 0.5801 0.5879 Mo
0.8642 0.8642 0.3648 P
0.2676 0.2676 0.5279 Os
0.2727 0.2727 0.0199 Ru
```

Calculated values
Total DFT energy (no corrections)   -38.4 eV/cell
Volume   82.01 Å³ per cell
DOS(E_F)   0.534 states/eV/atom
Density   12.6 g/cm3

---

Entry 3:
The following is a DFT calculation (PBE) of a relaxed GeB3Ru crystal.

```
GeB3Ru
1.0
4.1005 0.0000 0.0000
0.0000 4.1005 0.0000
0.0000 0.0000 4.1005
Ge B Ru
1 3 1
Direct
0.0000 0.0000 0.0000 Ge
0.0000 0.5000 0.5000 B
0.5000 0.0000 0.5000 B
0.5000 0.5000 0.0000 B
0.5000 0.5000 0.5000 Ru
```

Calculated values
Total DFT energy (no corrections)   -28.0 eV/cell
Volume   68.95 Å³ per cell
DOS(E_F)   1.192 states/eV/atom
Density   5.0 g/cm3

---

Entry 4:
The following is a DFT calculation (PBE) of a relaxed Ca3Ga8Hg3 crystal.

```
Ca3Ga8Hg3
1.0
-2.2090 5.0334 6.8705
2.2090 -5.0334 6.8705
2.2090 5.0334 -6.8705
Ca Ga Hg
3 8 3
Direct
0.0000 0.0000 0.0000 Ca
0.3113 0.3113 0.0000 Ca
0.6887 0.6887 0.0000 Ca
0.0393 0.6644 0.3749 Ga
0.1116 0.8424 0.2692 Ga
0.2896 0.6644 0.6251 Ga
0.4268 0.1576 0.2692 Ga
0.5732 0.8424 0.7308 Ga
0.7104 0.3356 0.3749 Ga
0.8884 0.1576 0.7308 Ga
0.9607 0.3356 0.6251 Ga
0.2870 0.5000 0.7870 Hg
0.5000 0.0000 0.5000 Hg
0.7130 0.5000 0.2130 Hg
```

Calculated values
Total DFT energy (no corrections)   -35.9 eV/cell
Volume   305.57 Å³ per cell
DOS(E_F)   0.257 states/eV/atom
Density   7.0 g/cm3

---

Entry 5:
The following is a DFT calculation (PBE) of a relaxed Li2PuRh2O6 crystal.

```
Li2PuRh2O6
1.0
2.6699 -4.6560 0.0000
2.6699 4.6560 0.0000
-0.1735 0.0000 5.2210
Li Pu Rh O
2 1 2 6
Direct
0.1655 0.8345 0.0000 Li
0.8345 0.1655 0.0000 Li
0.5000 0.5000 0.5000 Pu
0.1665 0.8335 0.5000 Rh
0.8335 0.1665 0.5000 Rh
0.1370 0.4934 0.2742 O
0.1483 0.1483 0.7262 O
0.4934 0.1370 0.2742 O
0.5066 0.8630 0.7258 O
0.8517 0.8517 0.2738 O
0.8630 0.5066 0.7258 O
```

Calculated values
E_form (uncorrected)   -1694.1 meV per atom
Volume   129.81 Å³ per cell
DOS(E_F)   0.372 states/eV/atom
Density   7.2 g/cm3

---

Entry 6:
The following is a DFT calculation (PBE) of a relaxed AcGa6Co3 crystal.

```
AcGa6Co3
1.0
5.9831 0.0000 0.0000
2.7950 5.3642 0.0000
0.3815 3.0705 5.4505
Ac Ga Co
1 6 3
Direct
0.0000 0.0000 0.0000 Ac
0.1260 0.2903 0.3752 Ga
0.4624 0.6527 0.7525 Ga
0.4863 0.0679 0.7766 Ga
0.5547 0.8088 0.2827 Ga
0.5832 0.3213 0.2774 Ga
0.9199 0.7185 0.6244 Ga
0.2775 0.3476 0.9904 Co
0.3172 0.5439 0.4994 Co
0.7955 0.5813 0.0193 Co
```

Calculated values
Total DFT energy (no corrections)   -46.0 eV/cell
Volume   174.93 Å³ per cell
DOS(E_F)   0.747 states/eV/atom
Density   7.8 g/cm3

---

Entry 7:
The following is a DFT calculation (PBE) of a relaxed SmDyYTm crystal.

```
SmDyYTm
1.0
-2.5186 2.5186 5.0185
2.5186 -2.5186 5.0185
2.5186 2.5186 -5.0185
Sm Dy Y Tm
1 1 1 1
Direct
0.0000 0.0000 0.0000 Sm
0.7500 0.2500 0.5000 Dy
0.2500 0.7500 0.5000 Y
0.5000 0.5000 0.0000 Tm
```

Calculated values
Total DFT energy (no corrections)   -20.2 eV/cell
Volume   127.34 Å³ per cell
DOS(E_F)   1.464 states/eV/atom
Density   7.4 g/cm3

---

Entry 8:
The following is a DFT calculation (PBE) of a relaxed NdSm2Dy2Er2 crystal.

```
NdSm2Dy2Er2
1.0
8.8391 -1.7508 0.0000
8.8391 1.7508 0.0000
-3.8160 0.0000 7.5299
Nd Sm Dy Er
1 2 2 2
Direct
0.0000 0.0000 0.0000 Nd
0.3515 0.3515 0.1127 Sm
0.6485 0.6485 0.8873 Sm
0.4290 0.4290 0.5924 Dy
0.5710 0.5710 0.4076 Dy
0.2118 0.2118 0.2997 Er
0.7882 0.7882 0.7003 Er
```

Calculated values
Total DFT energy (no corrections)   -31.5 eV/cell
Volume   233.06 Å³ per cell
DOS(E_F)   1.692 states/eV/atom
Density   7.9 g/cm3

---

> Among the records above, which one has the highest density?

TlMoPOsRu